1.
DFT (PBE) results for a relaxed structure of MgTaCo2I.

```
MgTaCo2I
1.0
4.387 0.000 0.000
0.000 5.010 0.000
0.000 0.000 4.387
I Mg Co Ta
1 1 2 1
Direct
0.000 0.500 0.000
0.000 0.000 0.000
0.000 0.000 0.500
0.500 0.000 0.000
0.500 0.500 0.500
```

Output
**Total energy**: -19.74 eV for the cell shown


2.
DFT (PBE) results for a relaxed structure of MgCoTeI2.

```
MgCoTeI2
1.0
-3.575 -3.603 -1.780
-1.643 -0.864 5.048
-3.424 3.641 -0.492
I Mg Te Co
2 1 1 1
Direct
0.000 0.500 0.000
0.500 0.000 0.000
0.500 0.500 0.500
0.000 0.000 0.500
0.000 0.000 0.000
```

Output
**Total energy**: -14.08 eV for the cell shown


3.
DFT (PBE) results for a relaxed structure of Mg2TlCoI.

```
Mg2TlCoI
1.0
5.010 0.000 0.000
0.000 5.219 0.000
0.000 0.000 5.010
I Tl Co Mg
1 1 1 2
Direct
0.000 0.500 0.000
0.500 0.500 0.500
0.000 0.000 0.000
0.000 0.000 0.500
0.500 0.000 0.000
```

Output
**Total energy**: -12.86 eV for the cell shown


4.
DFT (PBE) results for a relaxed structure of Mg2CoWI.

```
Mg2CoWI
1.0
5.331 0.000 0.000
0.000 4.515 0.000
0.000 0.000 5.331
I Mg Co W
1 2 1 1
Direct
0.000 0.000 0.000
0.000 0.000 0.500
0.500 0.000 0.000
0.000 0.500 0.000
0.500 0.500 0.500
```

Output
**Total energy**: -15.80 eV for the cell shown


5.
DFT (PBE) results for a relaxed structure of MnCo2I.

```
MnCo2I
1.0
5.653 0.000 0.000
0.000 5.653 0.000
2.826 2.826 4.662
I Mn Co
2 2 4
Direct
0.000 0.000 0.000
0.750 0.250 0.500
0.500 0.500 0.000
0.250 0.750 0.500
0.572 0.125 0.250
0.178 0.625 0.250
0.375 0.428 0.750
0.875 0.822 0.750
```

Output
**Total energy**: -41.57 eV for the cell shown


6.
DFT (PBE) results for a relaxed structure of MnCo2I.

```
MnCo2I
1.0
0.000 3.104 3.104
3.104 0.000 3.104
3.104 3.104 0.000
I Mn Co
1 1 2
Direct
0.500 0.500 0.500
0.000 0.000 0.000
0.250 0.250 0.250
0.750 0.750 0.750
```

Output
**Total energy**: -22.16 eV for the cell shown


7.
DFT (PBE) results for a relaxed structure of Mn2CoI.

```
Mn2CoI
1.0
-1.721 -4.151 -0.627
-4.370 -0.500 -1.114
-1.135 -1.380 -4.171
I Mn Co
1 2 1
Direct
0.500 0.500 0.500
0.250 0.250 0.250
0.750 0.750 0.750
0.000 0.000 0.000
```

Output
**Total energy**: -23.68 eV for the cell shown


8.
DFT (PBE) results for a relaxed structure of MnCoI4.

```
MnCoI4
1.0
-6.840 3.529 1.164
-2.031 -1.509 -7.361
-4.179 -9.097 3.018
Mn Co I
2 2 8
Direct
0.000 0.000 0.500
0.000 0.000 0.000
0.000 0.500 0.000
0.500 0.000 0.500
0.741 0.238 0.500
0.762 0.259 0.000
0.741 0.762 0.500
0.238 0.741 0.000
0.259 0.762 0.500
0.238 0.259 0.000
0.762 0.741 0.000
0.259 0.238 0.500
```

Output
**Total energy**: -45.40 eV for the cell shown


9.
DFT (PBE) results for a relaxed structure of MnCo2I8.

```
MnCo2I8
1.0
-6.379 7.090 -3.026
-1.749 -7.540 2.561
0.798 3.772 7.154
Mn Co I
1 2 8
Direct
0.000 0.000 0.000
0.885 0.770 0.628
0.115 0.230 0.372
0.934 0.252 0.163
0.318 0.252 0.163
0.066 0.748 0.837
0.314 0.628 0.491
0.682 0.748 0.837
0.906 0.813 0.313
0.094 0.187 0.687
0.686 0.372 0.509
```

Output
**Total energy**: -36.30 eV for the cell shown


10.
DFT (PBE) results for a relaxed structure of Mn2CoI.

```
Mn2CoI
1.0
5.738 0.000 0.000
0.000 5.738 0.000
2.869 2.869 5.957
I Mn Co
2 4 2
Direct
0.000 0.000 0.000
0.750 0.250 0.500
0.542 0.125 0.250
0.208 0.625 0.250
0.375 0.458 0.750
0.875 0.792 0.750
0.500 0.500 0.000
0.250 0.750 0.500
```

Output
**Total energy**: -46.03 eV for the cell shown


11.
DFT (PBE) results for a relaxed structure of Mn3CoI.

```
Mn3CoI
1.0
4.645 0.000 0.000
0.000 4.645 0.000
0.000 0.000 4.645
I Mn Co
1 3 1
Direct
0.500 0.500 0.500
0.000 0.500 0.000
0.000 0.000 0.500
0.500 0.000 0.000
0.000 0.000 0.000
```

Output
**Total energy**: -32.14 eV for the cell shown


12.
DFT (PBE) results for a relaxed structure of MnCoIN2.

```
MnCoIN2
1.0
-0.752 1.985 -2.983
-0.901 -3.055 -1.805
-6.509 0.681 2.095
I Mn Co N
1 1 1 2
Direct
0.000 0.000 0.500
0.500 0.500 0.500
0.000 0.000 0.000
0.000 0.500 0.000
0.500 0.000 0.000
```

Output
**Total energy**: -28.44 eV for the cell shown


13.
DFT (PBE) results for a relaxed structure of MnCoIN2.

```
MnCoIN2
1.0
-0.029 3.475 1.007
-3.617 -0.003 -0.096
-0.145 -1.600 5.516
I Mn Co N
1 1 1 2
Direct
0.000 0.000 0.500
0.000 0.000 0.000
0.500 0.500 0.500
0.000 0.500 0.000
0.500 0.000 0.000
```

Output
**Total energy**: -29.73 eV for the cell shown


Number 1: density of states at the Fermi level 11.88 states/eV per cell, size of the total moment 0.00 μB/cell. Number 2: density of states at the Fermi level 5.24 states/eV per cell, size of the total moment 1.13 μB/cell. Number 3: density of states at the Fermi level 3.59 states/eV per cell, size of the total moment 0.44 μB/cell. Number 4: density of states at the Fermi level 4.07 states/eV per cell, size of the total moment 4.38 μB/cell. Number 5: density of states at the Fermi level 6.63 states/eV per cell, size of the total moment 0.00 μB/cell. Number 6: density of states at the Fermi level 3.07 states/eV per cell, size of the total moment 6.53 μB/cell. Number 7: density of states at the Fermi level 3.88 states/eV per cell, size of the total moment 8.73 μB/cell. Number 8: density of states at the Fermi level 13.19 states/eV per cell, size of the total moment 14.14 μB/cell. Number 9: density of states at the Fermi level 10.38 states/eV per cell, size of the total moment 6.95 μB/cell. Number 10: density of states at the Fermi level 11.85 states/eV per cell, size of the total moment 16.35 μB/cell. Number 11: density of states at the Fermi level 3.52 states/eV per cell, size of the total moment 13.00 μB/cell. Number 12: density of states at the Fermi level 3.81 states/eV per cell, size of the total moment 3.89 μB/cell. Number 13: density of states at the Fermi level 2.66 states/eV per cell, size of the total moment 1.42 μB/cell.